## PrTaRh (PBE)

Data for a relaxed PrTaRh crystal.

The value obtained for the formation energy is -0.35 eV per atom. The total magnetization comes out at 0.0 μB per cell. As for the crystal system: tetragonal.

Cell and atoms, written as POSCAR:
```
PrTaRh
1.0
-2.936 -1.588 3.110
1.497 -4.243 -0.754
4.672 0.793 4.816
Rh Pr Ta
2 2 2
Cartesian
1.714 -0.254 4.835
2.239 -1.869 1.159
-0.869 -0.692 2.172
4.822 -1.430 3.822
1.617 -2.519 3.586
2.336 0.396 2.408
```

=====

## Ac2PtRh (PBE)

Data for a relaxed Ac2PtRh crystal.

The value obtained for the formation energy is -0.79 eV per atom. The total magnetization comes out at 0.0 μB per cell. As for the crystal system: tetragonal.

Cell and atoms, written as POSCAR:
```
Ac2PtRh
1.0
-2.987 1.972 1.187
-3.206 -3.266 -2.639
-0.353 -3.099 4.264
Ac Rh Pt
2 1 1
Cartesian
-0.176 -1.550 2.132
-1.603 -1.633 -1.320
-3.273 -2.197 1.406
-1.493 0.986 0.593
```

=====

## Ca2La2Pd (PBE)

Data for a relaxed Ca2La2Pd crystal.

Its energy above the most stable polymorph in this dataset is 0.329 eV per atom. The value obtained for the formation energy is 0.21 eV per atom. The total magnetization comes out at 0.0 μB per cell. As for the crystal system: tetragonal.

Cell and atoms, written as POSCAR:
```
Ca2La2Pd
1.0
-2.751 -1.912 2.359
2.901 -0.713 2.805
-2.135 7.423 7.088
Ca Pd La
2 1 2
Cartesian
-0.284 0.107 3.314
-1.701 4.691 8.937
0.000 0.000 0.000
-2.406 2.099 6.014
0.420 2.699 6.237
```

=====

## UCuHg (PBE)

Data for a relaxed UCuHg crystal.

The value obtained for the formation energy is 0.23 eV per atom. The total magnetization comes out at 2.5 μB per cell. As for the crystal system: tetragonal.

Cell and atoms, written as POSCAR:
```
UCuHg
1.0
-2.850 -0.548 -0.770
0.879 -2.436 -1.519
0.237 -2.094 6.464
U Hg Cu
1 1 1
Cartesian
-0.019 -0.091 0.135
-0.471 -2.257 3.347
-1.244 -2.730 0.692
```

=====

## TbNdTh2 (PBE)

Data for a relaxed TbNdTh2 crystal.

Its energy above the most stable polymorph in this dataset is 0.046 eV per atom. The value obtained for the formation energy is 0.08 eV per atom. The total magnetization comes out at 0.0 μB per cell. As for the crystal system: tetragonal.

Cell and atoms, written as POSCAR:
```
TbNdTh2
1.0
3.565 0.000 0.000
0.000 3.565 0.000
0.000 0.000 10.336
Nd Tb Th
1 1 2
Cartesian
1.783 1.783 5.168
1.783 1.783 0.000
0.000 0.000 7.793
0.000 0.000 2.543
```

=====

## Mg3ZnAg3Hg2 (PBE)

Data for a relaxed Mg3ZnAg3Hg2 crystal.

The value obtained for the formation energy is -0.14 eV per atom. The total magnetization comes out at 0.0 μB per cell. As for the crystal system: hexagonal.

Cell and atoms, written as POSCAR:
```
Mg3ZnAg3Hg2
1.0
-1.096 -1.515 -2.525
-1.382 -6.467 4.481
-5.681 5.550 -0.863
Mg Zn Ag Hg
3 1 3 2
Cartesian
-4.511 -0.586 2.311
-2.052 2.005 -0.312
-0.499 -2.336 1.619
0.000 0.000 0.000
-1.541 -5.402 1.956
-4.628 3.228 -1.882
-2.539 -1.016 -0.243
-3.363 -3.219 1.438
-4.796 0.786 -0.344
```

=====

## CaIn2S4 (PBE)

Data for a relaxed CaIn2S4 crystal.

Its uncorrected formation energy is -6.8 eV/f.u. The total magnetization comes out at 0.0 μB per cell. As for the crystal system: tetragonal.

Cell and atoms, written as POSCAR:
```
CaIn2S4
1.0
7.910 0.000 0.000
0.000 7.910 0.000
0.000 0.000 11.070
Ca In S
4 8 16
Cartesian
0.000 5.960 5.535
1.950 0.000 8.303
5.960 0.000 2.768
0.000 1.950 0.000
5.866 5.866 9.687
2.044 5.866 1.384
5.866 2.044 6.919
2.044 2.044 4.151
5.994 3.955 2.768
3.955 1.916 0.000
3.955 5.994 5.535
1.916 3.955 8.303
2.057 7.841 5.502
5.853 7.841 5.569
0.069 2.057 8.269
5.853 0.069 11.037
2.072 3.828 10.943
4.083 2.072 2.640
3.828 5.838 8.176
2.072 4.083 5.662
5.838 3.828 0.127
5.838 4.083 5.408
3.828 2.072 8.430
4.083 5.838 2.895
7.841 2.057 2.801
2.057 0.069 0.034
7.841 5.853 2.734
0.069 5.853 8.336
```

=====

## LaBeBr2 (PBE)

Data for a relaxed LaBeBr2 crystal.

Its energy above the most stable polymorph in this dataset is 0.127 eV per atom. Its uncorrected formation energy is -2.7 eV/f.u. The total magnetization comes out at 0.4 μB per cell. As for the crystal system: orthorhombic.

Cell and atoms, written as POSCAR:
```
LaBeBr2
1.0
3.807 0.000 0.000
-1.521 3.490 0.000
0.000 0.000 9.070
Be Br La
1 2 1
Cartesian
1.143 1.745 6.899
0.000 0.000 8.075
1.143 1.745 2.779
0.000 0.000 4.922
```

=====

## K14Ti2Se9 (PBE)

Data for a relaxed K14Ti2Se9 crystal.

Its uncorrected formation energy is -25.6 eV/f.u. The total magnetization comes out at 3.6 μB per cell. As for the crystal system: trigonal.

Cell and atoms, written as POSCAR:
```
K14Ti2Se9
1.0
9.143 0.000 0.000
-4.572 7.918 0.000
0.000 0.000 12.885
K Ti Se
14 2 9
Cartesian
-2.743 5.348 11.694
-1.397 7.290 7.671
-1.043 3.064 7.671
0.000 0.000 3.252
0.000 0.000 9.633
1.312 2.869 11.694
1.432 7.620 11.694
2.131 2.435 5.214
2.440 5.483 7.671
3.140 0.298 1.192
3.260 5.050 1.192
5.615 4.855 5.214
5.968 0.628 5.214
7.315 2.570 1.192
0.000 5.279 3.433
4.572 2.639 9.453
-1.460 7.245 4.311
-0.972 3.031 4.311
0.000 5.279 0.831
0.000 0.000 0.000
2.139 2.358 8.574
2.433 5.560 4.311
4.572 2.639 12.055
5.544 4.887 8.574
6.032 0.673 8.574
```

=====

## DyHfTcPt (PBE)

Data for a relaxed DyHfTcPt crystal.

The value obtained for the formation energy is -0.66 eV per atom. The total magnetization comes out at 0.0 μB per cell. As for the crystal system: cubic.

Cell and atoms, written as POSCAR:
```
DyHfTcPt
1.0
4.752 0.000 0.000
2.376 4.115 0.000
2.376 1.372 3.880
Hf Tc Pt Dy
1 1 1 1
Cartesian
4.752 2.744 1.940
2.376 1.372 0.970
7.128 4.115 2.910
0.000 0.000 0.000
```

=====

## Be2RhF (PBE)

Data for a relaxed Be2RhF crystal.

Its energy above the most stable polymorph in this dataset is 0.589 eV per atom. Its uncorrected formation energy is -0.3 eV/f.u. The total magnetization comes out at 0.0 μB per cell. As for the crystal system: cubic.

Cell and atoms, written as POSCAR:
```
Be2RhF
1.0
2.178 -2.061 -2.551
0.482 -3.875 0.504
-1.729 -2.536 -2.465
Be Rh F
2 1 1
Cartesian
0.233 -2.118 -1.128
0.698 -6.353 -3.385
0.465 -4.235 -2.256
0.000 0.000 0.000
```

=====

## InGa2Hg2 (PBE)

Data for a relaxed InGa2Hg2 crystal.

Its energy above the most stable polymorph in this dataset is 0.018 eV per atom. The value obtained for the formation energy is 0.07 eV per atom. The total magnetization comes out at 0.0 μB per cell. As for the crystal system: tetragonal.

Cell and atoms, written as POSCAR:
```
InGa2Hg2
1.0
-1.937 -0.919 -7.479
2.863 -7.233 0.147
-3.553 -1.384 1.090
Hg Ga In
4 4 2
Cartesian
-0.181 -5.752 -0.680
-0.732 -7.266 -4.398
-2.446 -3.784 -5.562
-1.895 -2.270 -1.844
1.778 -6.668 -2.671
0.098 -5.328 -6.447
-0.852 -1.483 -4.660
0.829 -2.823 -0.884
0.000 0.000 0.000
0.463 -4.076 -3.666
```

=====

## Nd4Pd6O19 (PBE)

Data for a relaxed Nd4Pd6O19 crystal.

Its uncorrected formation energy is -40.4 eV/f.u. The total magnetization comes out at 1.8 μB per cell. As for the crystal system: cubic.

Cell and atoms, written as POSCAR:
```
Nd4Pd6O19
1.0
7.326 0.000 -2.590
-3.663 6.345 -2.590
0.000 0.000 7.771
Nd Pd O
4 6 19
Cartesian
0.000 0.000 5.271
-2.485 4.304 -1.757
1.178 2.041 0.833
4.970 0.000 -1.757
0.659 3.172 4.351
3.005 3.172 -1.761
-1.245 4.188 1.761
4.908 2.157 0.829
0.586 5.329 -0.829
3.077 1.016 3.420
4.847 0.000 3.428
2.479 0.000 1.753
1.240 2.147 -1.753
2.424 4.198 -3.428
-2.424 4.198 3.428
-1.240 2.147 1.753
0.000 0.000 0.000
1.145 1.522 3.354
4.103 2.078 4.765
2.197 4.267 -0.310
4.409 4.593 -1.826
-0.119 4.823 -2.629
3.411 1.752 -0.415
-1.067 2.309 4.871
0.573 4.036 2.551
5.436 0.230 0.764
-1.131 6.114 2.280
-0.454 3.830 -0.039
3.475 2.515 2.175
```

=====

## Mg2BeBiB (PBE)

Data for a relaxed Mg2BeBiB crystal.

The value obtained for the formation energy is 0.70 eV per atom. The total magnetization comes out at 0.0 μB per cell. As for the crystal system: tetragonal.

Cell and atoms, written as POSCAR:
```
Mg2BeBiB
1.0
4.391 0.000 0.000
0.000 5.408 0.000
0.000 0.000 4.391
Be Mg B Bi
1 2 1 1
Cartesian
2.195 2.704 2.195
0.000 0.000 2.195
2.195 0.000 0.000
0.000 0.000 0.000
0.000 2.704 0.000
```